# 1
Pr4InHg2 after structural relaxation. Source: Alexandria, functional PBE.

```
Pr4InHg2
1.0
-2.547 3.406 3.367
0.280 -0.771 5.362
6.286 5.808 3.251
Pr Hg In
4 2 1
Cartesian
-0.425 2.517 5.871 Pr
3.520 3.872 3.117 Pr
4.444 5.926 6.108 Pr
0.498 4.570 8.862 Pr
0.871 2.017 2.988 Hg
3.147 6.425 8.991 Hg
0.000 0.000 0.000 In
```

Calculated values
spin magnetization	1.2	μB/f.u.
DOS(E_F)	8.03	states/eV/f.u.
ΔH_f (0 K)	-0.32	eV/atom
E	-3.5293	eV/atom


# 2
Pr2InHg after structural relaxation. Source: Alexandria, functional PBE.

```
Pr2InHg
1.0
3.681 0.000 0.000
0.000 3.681 0.000
0.000 0.000 8.594
Pr In Hg
2 1 1
Cartesian
0.000 0.000 6.460 Pr
0.000 0.000 2.134 Pr
1.841 1.841 4.297 In
1.841 1.841 0.000 Hg
```

Calculated values
spin magnetization	0.0	μB/f.u.
DOS(E_F)	4.08	states/eV/f.u.
ΔH_f (0 K)	-0.48	eV/atom
E	-3.6290	eV/atom


# 3
Pr12InHg6 after structural relaxation. Source: Alexandria, functional PBE.

```
Pr12InHg6
1.0
9.110 -1.133 -1.357
-2.501 8.833 -1.357
-2.501 -2.914 8.449
Pr Hg In
12 6 1
Cartesian
1.478 3.269 0.486 Pr
3.007 0.128 2.011 Pr
-0.507 6.010 -0.506 Pr
4.615 -1.223 6.240 Pr
6.017 -0.571 0.313 Pr
1.101 4.658 3.722 Pr
-1.477 -0.740 5.823 Pr
2.630 1.518 5.248 Pr
-0.329 1.445 3.303 Pr
4.437 3.342 2.431 Pr
5.585 5.526 -0.089 Pr
-1.909 5.357 5.421 Pr
-0.186 2.529 6.399 Hg
-1.697 4.084 2.102 Hg
2.528 6.260 1.340 Hg
4.294 2.257 -0.665 Hg
1.580 -1.474 4.394 Hg
5.805 0.702 3.632 Hg
0.000 0.000 0.000 In
```

Calculated values
spin magnetization	0.0	μB/f.u.
DOS(E_F)	23.15	states/eV/f.u.
ΔH_f (0 K)	-0.26	eV/atom
E	-3.5152	eV/atom